Here is a relaxed structure of LiHo12In6 from the Alexandria database. Energies are from GGA-PBE.

The structure in CIF format:
```
data_LiHo12In6
_chemical_formula_sum 'Li3 Ho36 In18'
_space_group_name_H-M_alt 'R -3'
_space_group_IT_number 148
_space_group_name_Hall '-R 3'
_cell_length_a 11.2417
_cell_length_b 11.2417
_cell_length_c 14.2274
_cell_angle_alpha 90.00
_cell_angle_beta 90.00
_cell_angle_gamma 120.00
loop_
_atom_site_label
_atom_site_type_symbol
_atom_site_fract_x
_atom_site_fract_y
_atom_site_fract_z
Li1 Li 0.0000 0.0000 0.0000
Ho1 Ho 0.0582 0.8708 0.8114
Ho2 Ho 0.0642 0.2164 0.4093
In1 In 0.0372 0.5925 0.7099
```

## Properties
density	8.56	Mg/m³
E_tot	-230.93	eV/cell

---

Here is a relaxed structure of Fe2AgRu from the Alexandria database. Energies are from GGA-PBE.

The structure in CIF format:
```
data_Fe2AgRu
_chemical_formula_sum 'Fe4 Ag2 Ru2'
_space_group_name_H-M_alt 'I 4/m m m'
_space_group_IT_number 139
_space_group_name_Hall '-I 4 2'
_cell_length_a 3.9774
_cell_length_b 3.9774
_cell_length_c 7.1371
_cell_angle_alpha 90.00
_cell_angle_beta 90.00
_cell_angle_gamma 90.00
loop_
_atom_site_label
_atom_site_type_symbol
_atom_site_fract_x
_atom_site_fract_y
_atom_site_fract_z
Fe1 Fe 0.0000 0.5000 0.2500
Ag1 Ag 0.0000 0.0000 0.0000
Ru1 Ru 0.0000 0.0000 0.5000
```

## Properties
density	9.43	Mg/m³
E_tot	-54.89	eV/cell

---

Here is a relaxed structure of ZrCoP2 from the Alexandria database. Energies are from GGA-PBE.

The structure in CIF format:
```
data_ZrCoP2
_chemical_formula_sum 'Zr2 Co2 P4'
_space_group_name_H-M_alt 'C 1 m 1'
_space_group_IT_number 8
_cell_length_a 9.9712
_cell_length_b 3.4169
_cell_length_c 3.6760
_cell_angle_alpha 90.00
_cell_angle_beta 100.67
_cell_angle_gamma 90.00
loop_
_space_group_symop_operation_xyz
'x,y,z'
'x,-y,z'
'x+1/2,y+1/2,z'
'x+1/2,-y+1/2,z'
loop_
_atom_site_label
_atom_site_type_symbol
_atom_site_fract_x
_atom_site_fract_y
_atom_site_fract_z
Zr1 Zr 0.0000 0.0000 0.0000
Co1 Co 0.2678 0.5000 0.4358
P1 P 0.0638 0.5000 0.5335
P2 P 0.2792 0.0000 0.8898
```

## Properties
density	5.72	Mg/m³
E_tot	-57.51	eV/cell

---

Here is a relaxed structure of Sm4CuPt from the Alexandria database. Energies are from GGA-PBE.

The structure in CIF format:
```
data_Sm4CuPt
_chemical_formula_sum 'Sm16 Cu4 Pt4'
_space_group_name_H-M_alt 'I 41 m d'
_space_group_IT_number 109
_space_group_name_Hall 'I 4bw -2'
_cell_length_a 9.6646
_cell_length_b 9.6646
_cell_length_c 8.2596
_cell_angle_alpha 90.00
_cell_angle_beta 90.00
_cell_angle_gamma 90.00
loop_
_atom_site_label
_atom_site_type_symbol
_atom_site_fract_x
_atom_site_fract_y
_atom_site_fract_z
Sm1 Sm 0.0000 0.2013 0.0000
Sm2 Sm 0.0000 0.2037 0.5015
Cu1 Cu 0.0000 0.0000 0.2542
Pt1 Pt 0.0000 0.0000 0.7489
```

## Properties
density	7.40	Mg/m³
E_tot	-122.57	eV/cell